Here is an optimized crystal structure of RbMoI2O from the Alexandria database. Energies are from GGA+U.

Cell: 6.643 6.643 4.422 Å, 90.00 90.00 90.00°
Last column: magnetic moment on the atom in μB.
Atoms (fractional coordinates):
I 0.000 0.500 0.000  -0.19
I 0.500 0.000 0.000  -0.19
Mo 0.500 0.500 0.500  4.18
O 0.000 0.000 0.500  -0.46
Rb 0.000 0.000 0.000  -0.03

Values from the calculation:
size of the total moment	3.74	μB per formula unit
ρ	3.84	g cm⁻³
D(E_F)	7.1	states/eV per cell
uncorrected energy	-13.1	eV for the cell shown
space-group type	P4/mmm (123)